## Li2CoP2O7 (PBE+U)

Data for a relaxed Li2CoP2O7 crystal.

Computed properties:
polymorph energy (0 for the lowest one)	0.047	eV/atom
calculated density	3.04	g cm⁻³

Unit cell a=5.063 b=7.047 c=8.856 alpha=101.97 beta=106.38 gamma=109.52
Each line ends with the local moment (μB).
Sites, in units of the cell vectors:
Li: 0.908 0.676 0.012  0.00
Li: 0.092 0.324 0.988  0.00
Li: 0.439 0.115 0.756  0.00
Li: 0.561 0.885 0.244  0.00
Co: 0.188 0.173 0.336  2.76
Co: 0.812 0.827 0.664  2.76
P: 0.155 0.741 0.393  0.01
P: 0.845 0.259 0.607  0.01
P: 0.669 0.298 0.146  0.01
P: 0.331 0.702 0.854  0.01
O: 0.466 0.733 0.438  0.04
O: 0.534 0.267 0.562  0.04
O: 0.104 0.848 0.541  0.03
O: 0.896 0.152 0.459  0.03
O: 0.111 0.847 0.255  0.04
O: 0.889 0.153 0.745  0.04
O: 0.639 0.744 0.839  0.03
O: 0.361 0.256 0.161  0.03
O: 0.694 0.367 0.995  0.01
O: 0.306 0.633 0.005  0.01
O: 0.909 0.498 0.315  0.01
O: 0.091 0.502 0.685  0.01
O: 0.230 0.882 0.846  0.03
O: 0.770 0.118 0.154  0.03

***

## LiCoP2O7 (PBE+U)

Data for a relaxed LiCoP2O7 crystal.

Computed properties:
polymorph energy (0 for the lowest one)	0.013	eV/atom
calculated density	3.24	g cm⁻³

Unit cell a=6.304 b=6.304 c=13.385 alpha=74.63 beta=74.63 gamma=80.24
Each line ends with the local moment (μB).
Sites, in units of the cell vectors:
Li: 0.765 0.982 0.151  0.00
Li: 0.018 0.235 0.349  0.00
Li: 0.235 0.018 0.849  0.00
Li: 0.982 0.765 0.651  0.00
Co: 0.867 0.405 0.858  3.16
Co: 0.133 0.595 0.142  3.16
Co: 0.595 0.133 0.642  3.16
Co: 0.405 0.867 0.358  3.16
P: 0.584 0.671 0.571  0.01
P: 0.416 0.329 0.429  0.01
P: 0.671 0.584 0.071  0.01
P: 0.247 0.090 0.137  0.01
P: 0.753 0.910 0.863  0.01
P: 0.329 0.416 0.929  0.01
P: 0.090 0.247 0.637  0.01
P: 0.910 0.753 0.363  0.01
O: 0.205 0.383 0.521  0.01
O: 0.183 0.340 0.872  0.13
O: 0.109 0.929 0.121  0.08
O: 0.660 0.817 0.628  0.13
O: 0.272 0.094 0.686  0.10
O: 0.430 0.981 0.196  0.10
O: 0.071 0.891 0.379  0.08
O: 0.617 0.795 0.979  0.01
O: 0.817 0.660 0.128  0.13
O: 0.981 0.430 0.696  0.10
O: 0.728 0.906 0.314  0.10
O: 0.389 0.782 0.521  0.12
O: 0.094 0.272 0.186  0.10
O: 0.795 0.617 0.479  0.01
O: 0.441 0.543 0.143  0.19
O: 0.218 0.611 0.979  0.12
O: 0.340 0.183 0.372  0.13
O: 0.929 0.109 0.621  0.08
O: 0.543 0.441 0.643  0.19
O: 0.611 0.218 0.479  0.12
O: 0.457 0.559 0.357  0.19
O: 0.383 0.205 0.021  0.01
O: 0.019 0.570 0.304  0.10
O: 0.570 0.019 0.804  0.10
O: 0.559 0.457 0.857  0.19
O: 0.782 0.389 0.021  0.12
O: 0.891 0.071 0.879  0.08
O: 0.906 0.728 0.814  0.10